Density functional theory data (PBE) for an optimized crystal structure of Tl2RhW.

## Properties
As for the energy: -23.5 eV per cell. For the formation energy, the calculation gives 1.52 eV per formula unit. For the polymorph energy (0 for the lowest one), the calculation gives 23.9 meV/atom. The calculation puts the spin magnetization at 0.0 μB per formula unit.

Cell: 3.0507 3.0507 8.9535 Å, 90.00 90.00 90.00°
Positions (direct):
Rh (0.5000, 0.5000, 0.7084)
Tl (0.5000, 0.5000, 0.2881)
W (0.0000, 0.0000, 0.5425)
Tl (0.0000, 0.0000, 0.9609)